This record from Alexandria via LeMat-Bulk describes crystalline InReBr2 at its relaxed geometry. The functional is GGA-PBE.

Density: 8.46 g/cm3
Symmetry: No. 12
Uncorrected formation energy: 0.94 eV per atom

a = 5.8369 Å, b = 5.8369 Å, c = 3.3635 Å
α = 72.92°, β = 72.92°, γ = 111.95°
Closest atoms and distances in Å follow each position.
Element x y z (fractional)
Re  0.0000  0.5000  0.5000  4 Br 2.91, 2 In 3.23
Br  0.0000  0.0000  0.0000  2 In 2.91, 2 Re 2.91, 2 Br 3.23
Br  0.5000  0.5000  0.0000  2 Re 2.91, 2 In 2.91, 2 Br 3.23
In  0.5000  0.0000  0.5000  4 Br 2.91, 2 Re 3.23

=====

This record from Alexandria via LeMat-Bulk describes crystalline Ba2TbHgO4 at its relaxed geometry. The functional is GGA-PBE.

Density: 6.06 g/cm3
Symmetry: No. 82
Uncorrected formation energy: -2.18 eV per atom

a = 7.0935 Å, b = 7.0935 Å, c = 7.0935 Å
α = 69.66°, β = 132.36°, γ = 132.36°
Closest atoms and distances in Å follow each position.
Element x y z (fractional)
Ba  0.5000  0.7500  0.2500  4 O 2.60
Ba  0.0000  0.0000  0.0000  4 O 2.58
Tb  0.5000  0.2500  0.7500  4 O 2.18
Hg  0.0000  0.5000  0.5000  4 O 2.67
O  0.4849  0.3540  0.4149  1 Tb 2.18
O  0.0609  0.1309  0.6460  1 Tb 2.18
O  0.9391  0.5851  0.0699  1 Tb 2.18
O  0.5151  0.9301  0.8691  1 Tb 2.18